{
  "formula": "ErThSn2",
  "functional": "PBE-GGA",
  "state": "optimized geometry",
  "lattice_angstrom": [[-2.9030, -0.1442, 3.4023], [0.3292, -4.4498, 0.0923], [5.8392, 0.4746, 2.0570]],
  "species": ["Er", "Th", "Sn", "Sn"],
  "fractional_positions": [[0.7182, 0.0000, 0.9750], [0.4485, 0.5000, 0.4364], [0.1766, 0.5000, 0.8919], [0.9877, 0.0000, 0.5147]]
}

=====

{
  "formula": "Cu5IrPt6",
  "functional": "PBE-GGA",
  "state": "optimized geometry",
  "lattice_angstrom": [[-1.7797, 3.3800, -0.7713], [-0.4392, -3.8622, -6.0661], [-4.0065, -3.2014, 5.0602]],
  "species": ["Ir", "Pt", "Pt", "Pt", "Pt", "Pt", "Pt", "Cu", "Cu", "Cu", "Cu", "Cu"],
  "fractional_positions": [[0.0000, 0.0000, 0.0000], [0.2515, 0.0840, 0.4189], [0.7485, 0.5811, 0.9160], [0.7524, 0.2524, 0.2524], [0.2476, 0.7476, 0.7476], [0.2515, 0.4189, 0.0840], [0.7485, 0.9160, 0.5811], [0.5000, 0.1666, 0.8334], [0.0000, 0.3333, 0.6667], [0.5000, 0.5000, 0.5000], [0.0000, 0.6667, 0.3333], [0.5000, 0.8334, 0.1666]]
}

=====

{
  "formula": "CeTm8In6",
  "functional": "PBE-GGA",
  "state": "optimized geometry",
  "lattice_angstrom": [[8.9950, 0.0000, 0.0000], [4.4975, 7.7899, 0.0000], [4.4975, 2.5966, 6.4127]],
  "species": ["Ce", "Tm", "Tm", "Tm", "Tm", "Tm", "Tm", "Tm", "Tm", "In", "In", "In", "In", "In", "In"],
  "fractional_positions": [[0.0000, 0.0000, 0.0000], [0.5592, 0.2177, 0.3379], [0.7823, 0.1148, 0.6621], [0.1148, 0.4408, 0.6621], [0.6679, 0.6679, 0.9962], [0.3321, 0.3321, 0.0038], [0.8852, 0.5592, 0.3379], [0.2177, 0.8852, 0.3379], [0.4408, 0.7823, 0.6621], [0.4016, 0.0608, 0.8178], [0.9392, 0.2801, 0.1822], [0.2801, 0.5984, 0.1822], [0.7199, 0.4016, 0.8178], [0.0608, 0.7199, 0.8178], [0.5984, 0.9392, 0.1822]]
}

=====

Number 1: magnetic moment 0.00 μB/f.u., density of states at the Fermi level 0.5647 states/eV per atom, formation enthalpy at 0 K -0.5963 eV/atom. Number 2: magnetic moment 0.00 μB/f.u., density of states at the Fermi level 0.8079 states/eV per atom, formation enthalpy at 0 K -0.0944 eV/atom. Number 3: magnetic moment 1.22 μB/f.u., density of states at the Fermi level 1.6140 states/eV per atom, formation enthalpy at 0 K -0.1628 eV/atom.